(1)
Crystalline PmDyRu at its relaxed geometry, computed with PBE.

Cell: 7.0729 7.0729 7.0729 Å, 151.87 151.87 40.21°
With the nearest neighbours (Å) after each atom.
Atoms (fractional coordinates):
Pm1 0.0000 0.0000 0.0000  4 Ru 2.99, 1 Dy 3.35
Dy1 0.7481 0.7481 0.0000  4 Ru 2.91
Ru1 0.3689 0.3689 0.0000  4 Dy 2.91, 4 Pm 2.99

## Properties
Excess energy over the best structure of this formula in the dataset: 0.000 eV/f.u.
Spin magnetization: 0.000 μB/atom
Calculated formation energy: -0.79 eV/f.u.
Fermi-level density of states: 1.69 states/eV/f.u.
Raw total energy: -6.471 eV per atom


(2)
Crystalline Pm2DyRu2 at its relaxed geometry, computed with PBE.

Cell: 6.1473 6.1473 10.0151 Å, 90.00 90.00 139.33°
With the nearest neighbours (Å) after each atom.
Atoms (fractional coordinates):
Pm1 0.0945 0.9055 0.5000  2 Ru 2.73
Pm2 0.3534 0.6466 0.6853  4 Ru 2.83-2.90
Pm3 0.6466 0.3534 0.1853  4 Ru 2.83-2.90
Pm4 0.9055 0.0945 0.0000  2 Ru 2.73
Dy1 0.3546 0.6454 0.3152  4 Ru 2.76-2.84
Dy2 0.6454 0.3546 0.8152  4 Ru 2.76-2.84
Ru1 0.0035 0.9965 0.7522  4 Pm 2.73-2.83, 2 Dy 2.76
Ru2 0.1887 0.8113 0.9949  2 Dy 2.84, 2 Pm 2.90
Ru3 0.8113 0.1887 0.4949  2 Dy 2.84, 2 Pm 2.90
Ru4 0.9965 0.0035 0.2522  4 Pm 2.73-2.83, 2 Dy 2.76

## Properties
Spin magnetization: 0.000 μB/atom
Calculated formation energy: -0.96 eV/f.u.
Fermi-level density of states: 2.81 states/eV/f.u.
Raw total energy: -6.724 eV per atom


(3)
Crystalline Pm3DyRu3 at its relaxed geometry, computed with PBE.

Cell: 6.9477 6.9477 6.8533 Å, 90.02 90.02 88.74°
With the nearest neighbours (Å) after each atom.
Atoms (fractional coordinates):
Pm1 0.2409 0.7591 0.0000  6 Ru 3.01-3.04
Pm2 0.2510 0.2510 0.4995  6 Ru 2.98-3.02
Pm3 0.2533 0.7467 0.5000  6 Ru 2.96-3.03
Pm4 0.7467 0.2533 0.5000  6 Ru 2.96-3.03
Pm5 0.7490 0.7490 0.5005  6 Ru 2.98-3.02
Pm6 0.7591 0.2409 0.0000  6 Ru 3.01-3.04
Dy1 0.2662 0.2662 0.9996  6 Ru 2.88-2.97
Dy2 0.7338 0.7338 0.0004  6 Ru 2.88-2.97
Ru1 0.0000 0.5000 0.2468  2 Dy 2.96-2.97, 6 Pm 2.98-3.03
Ru2 0.0000 0.5000 0.7532  2 Dy 2.96-2.97, 6 Pm 2.98-3.03
Ru3 0.5000 0.0000 0.2468  2 Dy 2.96-2.97, 6 Pm 2.98-3.03
Ru4 0.5000 0.0000 0.7532  2 Dy 2.96-2.97, 6 Pm 2.98-3.03
Ru5 0.5000 0.5000 0.2479  2 Dy 2.88, 6 Pm 2.96-3.04
Ru6 0.5000 0.5000 0.7521  2 Dy 2.88, 6 Pm 2.96-3.04

## Properties
Spin magnetization: 0.000 μB/atom
Calculated formation energy: -1.47 eV/f.u.
Fermi-level density of states: 3.97 states/eV/f.u.
Raw total energy: -6.879 eV per atom


(4)
Crystalline PmDy3Ru at its relaxed geometry, computed with PBE.

Cell: 5.4024 5.4024 5.4024 Å, 90.00 90.00 90.00°
With the nearest neighbours (Å) after each atom.
Atoms (fractional coordinates):
Pm1 0.0000 0.0000 0.0000  12 Dy 3.82
Dy1 0.0000 0.5000 0.5000  2 Ru 2.70
Dy2 0.5000 0.0000 0.5000  2 Ru 2.70
Dy3 0.5000 0.5000 0.0000  2 Ru 2.70
Ru1 0.5000 0.5000 0.5000  6 Dy 2.70

## Properties
Excess energy over the best structure of this formula in the dataset: 0.315 eV/f.u.
Spin magnetization: 0.139 μB/atom
Calculated formation energy: -0.36 eV/f.u.
Fermi-level density of states: 8.31 states/eV/f.u.
Raw total energy: -5.639 eV per atom


(5)
Crystalline Pm2DyRu at its relaxed geometry, computed with PBE.

Cell: 3.4946 3.4946 9.1656 Å, 90.00 90.00 90.00°
With the nearest neighbours (Å) after each atom.
Atoms (fractional coordinates):
Pm1 0.0000 0.0000 0.1865  4 Ru 3.00
Pm2 0.0000 0.0000 0.8135  4 Ru 3.00
Dy1 0.5000 0.5000 0.5000  4 Dy 3.49, 8 Pm 3.79
Ru1 0.5000 0.5000 0.0000  8 Pm 3.00

## Properties
Excess energy over the best structure of this formula in the dataset: 0.745 eV/f.u.
Spin magnetization: 0.000 μB/atom
Calculated formation energy: -0.23 eV/f.u.
Fermi-level density of states: 4.95 states/eV/f.u.
Raw total energy: -5.903 eV per atom


(6)
Crystalline PmDy3Ru2 at its relaxed geometry, computed with PBE.

Cell: 3.4201 3.4201 12.4649 Å, 90.00 90.00 90.00°
With the nearest neighbours (Å) after each atom.
Atoms (fractional coordinates):
Pm1 0.0000 0.0000 0.0000  4 Pm 3.42, 8 Dy 3.76
Dy1 0.5000 0.5000 0.2308  4 Ru 2.89
Dy2 0.5000 0.5000 0.5000  8 Ru 3.00, 2 Dy 3.36
Dy3 0.5000 0.5000 0.7692  4 Ru 2.89
Ru1 0.0000 0.0000 0.3580  8 Dy 2.89-3.00
Ru2 0.0000 0.0000 0.6420  8 Dy 2.89-3.00

## Properties
Excess energy over the best structure of this formula in the dataset: 0.000 eV/f.u.
Spin magnetization: 0.000 μB/atom
Calculated formation energy: -1.66 eV/f.u.
Fermi-level density of states: 4.36 states/eV/f.u.
Raw total energy: -6.461 eV per atom


(7)
Crystalline PmDy3Ru at its relaxed geometry, computed with PBE.

Cell: 7.6432 6.4182 6.2410 Å, 90.00 90.00 90.00°
With the nearest neighbours (Å) after each atom.
Atoms (fractional coordinates):
Pm1 0.0000 0.1520 0.0000  1 Ru 2.76
Pm2 0.5000 0.8480 0.5000  1 Ru 2.76
Dy1 0.0000 0.8409 0.4888  1 Ru 2.69
Dy2 0.2492 0.3233 0.4943  2 Ru 2.71-2.72
Dy3 0.2508 0.6767 0.9943  2 Ru 2.71-2.72
Dy4 0.5000 0.1591 0.9888  1 Ru 2.69
Dy5 0.7492 0.6767 0.9943  2 Ru 2.71-2.72
Dy6 0.7508 0.3233 0.4943  2 Ru 2.71-2.72
Ru1 0.0000 0.5028 0.7432  5 Dy 2.69-2.72, 1 Pm 2.76
Ru2 0.5000 0.4972 0.2432  5 Dy 2.69-2.72, 1 Pm 2.76

## Properties
Excess energy over the best structure of this formula in the dataset: 0.000 eV/f.u.
Spin magnetization: 0.000 μB/atom
Calculated formation energy: -0.68 eV/f.u.
Fermi-level density of states: 5.81 states/eV/f.u.
Raw total energy: -5.702 eV per atom


(8)
Crystalline Pm2DyRu at its relaxed geometry, computed with PBE.

Cell: 7.3592 9.5544 6.3805 Å, 90.00 90.00 90.00°
With the nearest neighbours (Å) after each atom.
Atoms (fractional coordinates):
Pm1 0.1772 0.0653 0.1703  2 Ru 2.90-2.97
Pm2 0.1772 0.4347 0.1703  2 Ru 2.90-2.97
Pm3 0.3228 0.5653 0.6703  2 Ru 2.90-2.97
Pm4 0.3228 0.9347 0.6703  2 Ru 2.90-2.97
Pm5 0.6772 0.0653 0.3297  2 Ru 2.90-2.97
Pm6 0.6772 0.4347 0.3297  2 Ru 2.90-2.97
Pm7 0.8228 0.5653 0.8297  2 Ru 2.90-2.97
Pm8 0.8228 0.9347 0.8297  2 Ru 2.90-2.97
Dy1 0.0432 0.2500 0.6430  2 Ru 2.78-2.80
Dy2 0.4568 0.7500 0.1430  2 Ru 2.78-2.80
Dy3 0.5432 0.2500 0.8570  2 Ru 2.78-2.80
Dy4 0.9568 0.7500 0.3570  2 Ru 2.78-2.80
Ru1 0.1149 0.7500 0.9586  2 Dy 2.78-2.80, 4 Pm 2.90-2.97
Ru2 0.3851 0.2500 0.4586  2 Dy 2.78-2.80, 4 Pm 2.90-2.97
Ru3 0.6149 0.7500 0.5414  2 Dy 2.78-2.80, 4 Pm 2.90-2.97
Ru4 0.8851 0.2500 0.0414  2 Dy 2.78-2.80, 4 Pm 2.90-2.97

## Properties
Excess energy over the best structure of this formula in the dataset: 0.000 eV/f.u.
Spin magnetization: 0.000 μB/atom
Calculated formation energy: -0.98 eV/f.u.
Fermi-level density of states: 3.78 states/eV/f.u.
Raw total energy: -6.089 eV per atom


(9)
Crystalline PmDyRu at its relaxed geometry, computed with PBE.

Cell: 4.7435 4.7435 3.6805 Å, 90.00 90.00 120.00°
With the nearest neighbours (Å) after each atom.
Atoms (fractional coordinates):
Pm1 0.0000 0.0000 0.0000  3 Ru 2.96, 3 Dy 3.20
Dy1 0.3333 0.6667 0.4512  3 Ru 2.88, 3 Pm 3.20
Ru1 0.6667 0.3333 0.6950  3 Dy 2.88, 3 Pm 2.96

## Properties
Excess energy over the best structure of this formula in the dataset: 0.537 eV/f.u.
Spin magnetization: 0.000 μB/atom
Calculated formation energy: -0.25 eV/f.u.
Fermi-level density of states: 1.90 states/eV/f.u.
Raw total energy: -6.292 eV per atom


(10)
Crystalline PmDyRu at its relaxed geometry, computed with PBE.

Cell: 8.2027 8.2027 5.3035 Å, 90.00 90.00 155.10°
With the nearest neighbours (Å) after each atom.
Atoms (fractional coordinates):
Pm1 0.0715 0.9285 0.7500  6 Ru 2.96-3.19
Pm2 0.9285 0.0715 0.2500  6 Ru 2.96-3.19
Dy1 0.2105 0.7895 0.2500  2 Ru 2.78
Dy2 0.7895 0.2105 0.7500  2 Ru 2.78
Ru1 0.4235 0.5765 0.7500  2 Dy 2.78, 2 Pm 2.96
Ru2 0.5765 0.4235 0.2500  2 Dy 2.78, 2 Pm 2.96

## Properties
Excess energy over the best structure of this formula in the dataset: 0.270 eV/f.u.
Spin magnetization: 0.000 μB/atom
Calculated formation energy: -0.52 eV/f.u.
Fermi-level density of states: 2.66 states/eV/f.u.
Raw total energy: -6.381 eV per atom


(11)
Crystalline PmDy3Ru4 at its relaxed geometry, computed with PBE.

Cell: 4.8293 4.8293 6.8567 Å, 90.00 90.00 90.00°
With the nearest neighbours (Å) after each atom.
Atoms (fractional coordinates):
Pm1 0.0000 0.0000 0.0000  8 Ru 2.97
Dy1 0.0000 0.0000 0.5000  8 Ru 2.95
Dy2 0.5000 0.5000 0.0000  8 Ru 2.97
Dy3 0.5000 0.5000 0.5000  8 Ru 2.95
Ru1 0.0000 0.5000 0.2531  6 Dy 2.95-2.97, 2 Pm 2.97
Ru2 0.0000 0.5000 0.7469  6 Dy 2.95-2.97, 2 Pm 2.97
Ru3 0.5000 0.0000 0.2531  6 Dy 2.95-2.97, 2 Pm 2.97
Ru4 0.5000 0.0000 0.7469  6 Dy 2.95-2.97, 2 Pm 2.97

## Properties
Spin magnetization: 0.000 μB/atom
Calculated formation energy: -2.12 eV/f.u.
Fermi-level density of states: 8.18 states/eV/f.u.
Raw total energy: -7.222 eV per atom


(12)
Crystalline Pm6Dy2Ru at its relaxed geometry, computed with PBE.

Cell: 8.7561 3.7892 8.8961 Å, 90.00 93.02 90.00°
With the nearest neighbours (Å) after each atom.
Atoms (fractional coordinates):
Pm1 0.0315 0.0000 0.1967  1 Ru 2.73
Pm2 0.2297 0.5000 0.5512  2 Ru 2.78
Pm3 0.4450 0.0000 0.2783  4 Dy 3.53-3.71, 7 Pm 3.65-3.79
Pm4 0.5550 0.0000 0.7217  4 Dy 3.53-3.71, 7 Pm 3.65-3.79
Pm5 0.7703 0.5000 0.4488  2 Ru 2.78
Pm6 0.9685 0.0000 0.8033  1 Ru 2.73
Dy1 0.3019 0.5000 0.9669  3 Dy 3.49-3.79, 9 Pm 3.53-3.73
Dy2 0.6981 0.5000 0.0331  3 Dy 3.49-3.79, 9 Pm 3.53-3.73
Ru1 0.0000 0.0000 0.5000  6 Pm 2.73-2.78

## Properties
Spin magnetization: 0.000 μB/atom
Calculated formation energy: -0.21 eV/f.u.
Fermi-level density of states: 13.03 states/eV/f.u.
Raw total energy: -5.244 eV per atom